(i)
Here is a relaxed structure of ThGe2Mo from Alexandria via LeMat-Bulk. Energies are from PBE.

* theoretical density: 10.060 g/cm³

a = 3.392 Å, b = 3.392 Å, c = 6.791 Å
α = 90.00°, β = 90.00°, γ = 90.00°
Space group P4/mmm (No. 123)
Inequivalent atoms, fractional coordinates:
Th 0.000 0.000 0.000 x1
Ge 0.500 0.500 0.302 x2
Mo 0.000 0.000 0.500 x1

=====

(ii)
Here is a relaxed structure of ThGe2Mo from Alexandria via LeMat-Bulk. Energies are from PBE.

* theoretical density: 9.083 g/cm³

a = 3.9491 Å, b = 3.9491 Å, c = 19.2195 Å
α = 90.00°, β = 90.00°, γ = 120.00°
Space group R-3m (No. 166, hexagonal axes)
Inequivalent atoms, fractional coordinates:
Th 0.0000 0.0000 0.0000 x3
Ge 0.0000 0.0000 0.2329 x6
Mo 0.0000 0.0000 0.5000 x3

=====

Of the structures shown above, (i) is the most stable.